A geometry-optimized RbZnSn3 structure. Source: Alexandria, functional PBE.

CIF file:
```
data_RbZnSn3
_chemical_formula_sum 'Rb1 Zn1 Sn3'
_cell_length_a 5.4690
_cell_length_b 5.4690
_cell_length_c 5.4690
_cell_angle_alpha 90.00
_cell_angle_beta 90.00
_cell_angle_gamma 90.00
_space_group_name_H-M_alt 'P m -3 m'
_space_group_IT_number 221
_space_group_name_Hall '-P 4 2 3'
loop_
_atom_site_label
_atom_site_fract_x
_atom_site_fract_y
_atom_site_fract_z
Rb1 0.0000 0.0000 0.0000
Zn1 0.5000 0.5000 0.5000
Sn1 0.0000 0.5000 0.5000
```

The calculation puts the magnetic moment at 0.00 μB/f.u. The value obtained for the energy above the lowest structure with this stoichiometry is 0.306 eV/atom. As for the formation energy: 169.0 meV per atom.

=====

A geometry-optimized TbSn2Rh3 structure. Source: Alexandria, functional PBE.

CIF file:
```
data_TbSn2Rh3
_chemical_formula_sum 'Tb1 Sn2 Rh3'
_cell_length_a 4.6607
_cell_length_b 4.6607
_cell_length_c 5.8492
_cell_angle_alpha 90.00
_cell_angle_beta 90.00
_cell_angle_gamma 120.00
_space_group_name_H-M_alt 'P -3 m 1'
_space_group_IT_number 164
_space_group_name_Hall '-P 3 2"'
loop_
_atom_site_label
_atom_site_fract_x
_atom_site_fract_y
_atom_site_fract_z
Tb1 0.0000 0.0000 0.0000
Sn1 0.3333 0.6667 0.6922
Rh1 0.0000 0.0000 0.5000
Rh2 0.3333 0.6667 0.2322
```

The calculation puts the magnetic moment at 0.00 μB/f.u. As for the formation energy: -680.1 meV per atom.

=====

A geometry-optimized Dy2Y3Er6Th structure. Source: Alexandria, functional PBE.

CIF file:
```
data_Dy2Y3Er6Th
_chemical_formula_sum 'Dy4 Y6 Er12 Th2'
_cell_length_a 6.1315
_cell_length_b 10.6122
_cell_length_c 11.7220
_cell_angle_alpha 90.00
_cell_angle_beta 100.04
_cell_angle_gamma 90.00
_space_group_name_H-M_alt 'C 1 2/m 1'
_space_group_IT_number 12
loop_
_space_group_symop_operation_xyz
'x,y,z'
'-x,-y,-z'
'-x,y,-z'
'x,-y,z'
'x+1/2,y+1/2,z'
'-x+1/2,-y+1/2,-z'
'-x+1/2,y+1/2,-z'
'x+1/2,-y+1/2,z'
loop_
_atom_site_label
_atom_site_fract_x
_atom_site_fract_y
_atom_site_fract_z
Dy1 0.0000 0.1667 0.0000
Y1 0.0000 0.0000 0.5000
Y2 0.0000 0.3327 0.5000
Er1 0.2465 0.5000 0.7515
Er2 0.2485 0.3350 0.2485
Th1 0.0000 0.5000 0.0000
```

The calculation puts the magnetic moment at 0.01 μB/f.u. As for the formation energy: 26.6 meV per atom.

=====

Computed values of calculated density (unit: g cm⁻³) for the preceding records, in sequence: 5.15, 10.64, 8.08.
Computed values of Fermi-level density of states (unit: states/eV per atom) for the preceding records, in sequence: 0.6025, 0.8460, 1.3780.